Below is a relaxed CeHfNi10 crystal, with properties calculated at the PBE level.

The calculation puts the density of states at the Fermi level at 14.33 states/eV/f.u. As for the total energy: -6.454 eV per atom. As for the energy of formation from the pure elements: -0.313 eV/atom. As for the total magnetization: 1.9 μB/f.u.

Cell lengths 3.973, 4.801, 8.328 Å; angles 90.00, 90.00, 90.00 degrees
Last column: magnetic moment on the atom in μB.
Positions (direct):
Ni  0.000  0.000  0.339  0.18
Ni  0.000  0.500  0.826  0.19
Ni  0.000  0.000  0.661  0.18
Ni  0.000  0.500  0.174  0.19
Ni  0.500  0.745  0.742  0.26
Ni  0.500  0.255  0.742  0.26
Ni  0.500  0.500  0.000  0.25
Ni  0.500  0.000  0.500  0.30
Ni  0.500  0.745  0.258  0.26
Ni  0.500  0.255  0.258  0.26
Hf  0.000  0.500  0.500  -0.06
Ce  0.000  0.000  0.000  -0.19